Here is crystalline Na2NdGaSb2 at its relaxed geometry from the Alexandria database. Energies are from PBE.

Unit cell a=4.5547 b=9.0726 c=8.3298 alpha=90.00 beta=90.00 gamma=90.00
Closest atoms and distances in Å follow each position.
Space group Pmc2_1 (No. 26)
One atom of each set of equivalent atoms:
Na 0.0000 0.0916 0.0000 x2  3 Sb 3.13-3.33, 2 Na 3.47
Na 0.5000 0.1496 0.3282 x2  4 Sb 3.14-3.33, 2 Na 3.47
Nd 0.5000 0.4792 0.9668 x2  2 Ga 3.13, 5 Sb 3.28-3.35
Ga 0.0000 0.3256 0.6117 x2  3 Sb 2.79-2.92
Sb 0.0000 0.3693 0.2234 x2  2 Ga 2.92-3.26, 3 Na 3.13-3.15
Sb 0.5000 0.1834 0.7268 x2  2 Ga 2.79

Summary:
M_tot = 0.0 μB per cell
Volume = 28.7 Å³/atom
Total energy = -43.453 eV per cell



Here is crystalline NaZn2P2 at its relaxed geometry from the Alexandria database. Energies are from PBE.

Unit cell a=7.4717 b=7.4717 c=3.0355 alpha=90.00 beta=90.00 gamma=90.00
Closest atoms and distances in Å follow each position.
Space group P4/mbm (No. 127)
One atom of each set of equivalent atoms:
Na 0.0000 0.0000 0.0000 x2  4 Zn 2.94, 2 Na 3.04, 8 P 3.16
Zn 0.1273 0.3727 0.0000 x4  6 P 2.63-2.71, 1 Zn 2.69
P 0.1698 0.6698 0.5000 x4  6 Zn 2.63-2.71

Summary:
M_tot = 0.0 μB per cell
Volume = 16.9 Å³/atom
DFT formation energy = 0.05 eV per atom
Total energy = -28.824 eV per cell



Here is crystalline La8Pt3Br4N at its relaxed geometry from the Alexandria database. Energies are from PBE.

Unit cell a=14.4228 b=8.3149 c=9.1919 alpha=90.00 beta=121.60 gamma=90.00
Closest atoms and distances in Å follow each position.
Space group C2/m (No. 12)
One atom of each set of equivalent atoms:
La 0.0099 0.2259 0.3046 x8  1 N 2.65, 2 Pt 2.95-2.96
La 0.2175 0.0000 0.6965 x4  1 N 2.68, 2 Pt 2.95
La 0.2334 0.5000 0.6997 x4  3 Pt 2.86-2.87
Pt 0.0000 0.5000 0.5000 x2  6 La 2.87-2.95
Pt 0.2500 0.2500 0.5000 x4  6 La 2.86-2.96
Br 0.0000 0.0000 0.0000 x2  6 La 3.31-3.36
Br 0.0000 0.5000 0.0000 x2  6 La 3.53-3.55
Br 0.2500 0.2500 0.0000 x4  6 La 3.31-3.36
N 0.0000 0.0000 0.5000 x2  6 La 2.65-2.68

Summary:
M_tot = 2.7 μB per cell
Volume = 29.3 Å³/atom
Total energy = -186.867 eV per cell



Here is crystalline Na2TlIn at its relaxed geometry from the Alexandria database. Energies are from PBE.

Unit cell a=3.4485 b=3.4485 c=9.3701 alpha=90.00 beta=90.00 gamma=90.00
Closest atoms and distances in Å follow each position.
Space group P4/mmm (No. 123)
One atom of each set of equivalent atoms:
Na 0.0000 0.0000 0.2472 x2  4 In 3.36, 4 Tl 3.40, 4 Na 3.45
Tl 0.5000 0.5000 0.5000 x1  8 Na 3.40, 4 Tl 3.45
In 0.5000 0.5000 0.0000 x1  8 Na 3.36, 4 In 3.45

Summary:
M_tot = 0.0 μB per cell
Volume = 27.9 Å³/atom
DFT formation energy = -0.08 eV per atom
Total energy = -8.066 eV per cell



Here is crystalline La2Cd2O at its relaxed geometry from the Alexandria database. Energies are from PBE.

Unit cell a=6.7625 b=6.7625 c=5.9035 alpha=90.00 beta=90.00 gamma=90.00
Closest atoms and distances in Å follow each position.
Space group P4/mbm (No. 127)
One atom of each set of equivalent atoms:
La 0.1815 0.3185 0.0000 x4  2 O 2.48
Cd 0.1482 0.6482 0.5000 x4  1 Cd 2.84
O 0.0000 0.0000 0.0000 x2  4 La 2.48

Summary:
M_tot = 0.0 μB per cell
Volume = 27.0 Å³/atom
Total energy = -43.736 eV per cell



Here is crystalline H2Ru2Se at its relaxed geometry from the Alexandria database. Energies are from PBE.

Unit cell a=3.0801 b=3.0801 c=10.6983 alpha=90.00 beta=90.00 gamma=90.00
Closest atoms and distances in Å follow each position.
Space group I4/mmm (No. 139)
One atom of each set of equivalent atoms:
H 0.0000 0.5000 0.2500 x4  4 Ru 1.90
Ru 0.0000 0.0000 0.1455 x4  4 H 1.90
Se 0.0000 0.0000 0.5000 x2  8 Ru 2.68

Summary:
M_tot = 0.0 μB per cell
Volume = 10.1 Å³/atom
Total energy = -55.183 eV per cell